Material: LiYTe2
Method: DFT, PBE-GGA
State: optimized geometry

DFT total energy = -4.9598 eV per atom
magnetic moment = 0.00 μB per cell
space-group type = P3m1, No. 156
E_form (uncorrected) = -1.29 eV per atom

a = 4.406 Å, b = 4.406 Å, c = 7.546 Å
α = 90.00°, β = 90.00°, γ = 120.00°
Element x y z (fractional)
Y: 0.000 0.000 0.003
Te: 0.333 0.667 0.782
Te: 0.667 0.333 0.253
Li: 0.333 0.667 0.417